# 1
An optimized crystal structure of ZnGaBrF2, computed with PBE.

abc: 4.163 4.163 5.348
angles: 90.00 90.00 90.00
Space group P4/mmm (No. 123)
Unique sites:
Zn 0.000 0.000 0.000
Ga 0.500 0.500 0.500
Br 0.000 0.000 0.500
F 0.000 0.500 0.000

formation energy from raw total energies: -1452 meV per atom

---

# 2
An optimized crystal structure of ZnGaBr2F, computed with PBE.

abc: 5.348 5.348 3.965
angles: 90.00 90.00 90.00
Space group P4/mmm (No. 123)
Unique sites:
Zn 0.000 0.000 0.000
Ga 0.500 0.500 0.500
Br 0.000 0.500 0.000
F 0.000 0.000 0.500

formation energy from raw total energies: -1061 meV per atom

---

# 3
An optimized crystal structure of Gd2BrF, computed with PBE.

abc: 3.7000 3.7000 27.4389
angles: 90.00 90.00 120.00
Space group R-3m (No. 166, hexagonal axes)
Unique sites:
Gd 0.0000 0.0000 0.0801
Br 0.0000 0.0000 0.5000
F 0.0000 0.0000 0.0000

formation energy from raw total energies: -1707 meV per atom

---

# 4
An optimized crystal structure of GdBrF2, computed with PBE.

abc: 3.9870 3.9870 15.7840
angles: 90.00 90.00 120.00
Space group R-3m (No. 166, hexagonal axes)
Unique sites:
Gd 0.0000 0.0000 0.0000
Br 0.0000 0.0000 0.5000
F 0.0000 0.0000 0.3015

formation energy from raw total energies: -3160 meV per atom

---

# 5
An optimized crystal structure of GeBr2F, computed with PBE.

abc: 6.806 6.806 6.806
angles: 90.00 90.00 90.00
Space group Fm-3m (No. 225)
Unique sites:
Ge 0.000 0.000 0.000
Br 0.250 0.250 0.250
F 0.000 0.000 0.500

ΔE to the lowest computed polymorph: 57 meV per atom
formation energy from raw total energies: -284 meV per atom

---

# 6
An optimized crystal structure of GeBr2F, computed with PBE.

abc: 3.8113 3.8113 24.4789
angles: 90.00 90.00 120.00
Space group R-3m (No. 166, hexagonal axes)
Unique sites:
Ge 0.0000 0.0000 0.0000
Br 0.0000 0.0000 0.0942
F 0.0000 0.0000 0.5000

ΔE to the lowest computed polymorph: 371 meV per atom
formation energy from raw total energies: 31 meV per atom

---

# 7
An optimized crystal structure of GeBr2F, computed with PBE.

abc: 7.251 7.251 7.467
angles: 90.00 90.00 90.00
Space group I-42d (No. 122)
Unique sites:
Ge 0.000 0.000 0.000
Br 0.225 0.250 0.125
F 0.000 0.000 0.500

ΔE to the lowest computed polymorph: 0 meV per atom
formation energy from raw total energies: -340 meV per atom

---

# 8
An optimized crystal structure of Ge2BrF3, computed with PBE.

abc: 20.879 4.388 6.008
angles: 90.00 96.85 90.00
Space group C2/m (No. 12)
Unique sites:
Ge 0.082 0.000 0.452
Ge 0.201 0.500 0.706
Br 0.173 0.500 0.091
F 0.039 0.000 0.698
F 0.109 0.500 0.558
F 0.171 0.000 0.653

formation energy from raw total energies: -1655 meV per atom

---

# 9
An optimized crystal structure of Ge3Br5F, computed with PBE.

abc: 13.310 9.287 10.268
angles: 90.00 98.10 90.00
Space group Cm (No. 8)
Unique sites:
Ge 0.000 0.000 0.000
Ge 0.067 0.500 0.113
Ge 0.147 0.500 0.713
Ge 0.233 0.000 0.774
Ge 0.312 0.000 0.413
Ge 0.405 0.500 0.431
Br 0.054 0.000 0.247
Br 0.117 0.196 0.668
Br 0.214 0.500 0.965
Br 0.289 0.304 0.331
Br 0.329 0.500 0.678
Br 0.461 0.192 0.986
Br 0.498 0.000 0.421
F 0.132 0.000 0.958
F 0.316 0.000 0.603

formation energy from raw total energies: -775 meV per atom

---

# 10
An optimized crystal structure of Ge2Br3F, computed with PBE.

abc: 20.285 3.993 10.711
angles: 90.00 111.91 90.00
Space group C2/m (No. 12)
Unique sites:
Ge 0.085 0.000 0.269
Ge 0.146 0.500 0.001
Br 0.050 0.000 0.802
Br 0.106 0.500 0.446
Br 0.228 0.000 0.161
F 0.088 0.500 0.102

formation energy from raw total energies: -908 meV per atom

---

# 11
An optimized crystal structure of Hg2GeBrF, computed with PBE.

abc: 5.384 5.384 4.170
angles: 90.00 90.00 90.00
Space group P4/mmm (No. 123)
Unique sites:
Hg 0.000 0.500 0.000
Ge 0.000 0.000 0.000
Br 0.500 0.500 0.500
F 0.000 0.000 0.500

formation energy from raw total energies: -638 meV per atom

---

# 12
An optimized crystal structure of K3GeBr2F6, computed with PBE.

abc: 13.795 6.238 6.166
angles: 90.00 90.04 90.00
Space group C2/m (No. 12)
Unique sites:
K 0.000 0.000 0.000
K 0.250 0.250 0.500
Ge 0.000 0.500 0.500
Br 0.239 0.000 0.020
F 0.053 0.289 0.672
F 0.113 0.500 0.342

formation energy from raw total energies: -2233 meV per atom